# 1
! TlC (GGA-PBEsol, relaxed); values from VASP
&SYSTEM
  ibrav = 0, nat = 4, ntyp = 2
/
ATOMIC_SPECIES
C 12.01 C.upf
Tl 204.38 Tl.upf
CELL_PARAMETERS angstrom
-2.4287 -0.1657 2.3280
1.8004 -2.2711 1.7166
2.9487 5.6211 1.0396
ATOMIC_POSITIONS crystal
C 0.2500 0.7500 0.5000
C 0.0000 0.0000 0.0000
Tl 0.5000 0.5000 0.0000
Tl 0.7500 0.2500 0.5000
! - Offset from the most stable computed form: 257.9 meV/atom
! - Raw total energy: -0.2791 Ry per atom
! - Spin magnetization: 0.0002 μB/atom
! - Fermi-level density of states: 0.57 states/eV/atom

***

# 2
! TcAgBr2 (GGA-PBEsol, relaxed); values from VASP
&SYSTEM
  ibrav = 0, nat = 4, ntyp = 3
/
ATOMIC_SPECIES
Ag 107.87 Ag.upf
Br 79.90 Br.upf
Tc 98.00 Tc.upf
CELL_PARAMETERS angstrom
3.2834 0.0130 0.0174
-1.4226 5.1537 -0.0983
-1.4226 -1.5478 4.9167
ATOMIC_POSITIONS crystal
Ag 0.0000 0.0000 0.0000
Br 0.0000 0.5000 0.0000
Br 0.0000 0.0000 0.5000
Tc 0.0000 0.5000 0.5000
! - Offset from the most stable computed form: 177.3 meV/atom
! - Raw total energy: -0.2884 Ry per atom
! - Uncorrected formation energy: 0.655 eV/atom
! - Spin magnetization: 0.7389 μB/atom
! - Fermi-level density of states: 0.46 states/eV/atom

***

# 3
! CsSm2Ti2NbO10 (GGA-PBEsol, relaxed); values from VASP
&SYSTEM
  ibrav = 0, nat = 16, ntyp = 5
/
ATOMIC_SPECIES
O 16.00 O.upf
Ti 47.87 Ti.upf
Nb 92.91 Nb.upf
Sm 150.36 Sm.upf
Cs 132.91 Cs.upf
CELL_PARAMETERS angstrom
3.8333 0.0023 -0.0080
0.0245 3.8332 -0.0080
0.1292 0.1285 15.3142
ATOMIC_POSITIONS crystal
O 0.0029 0.0029 0.6081
O 0.0324 0.0324 0.1270
O 0.0224 0.0224 0.8770
O 0.9936 0.4996 0.7548
O 0.5134 0.0213 0.2434
O 0.0061 0.0061 0.3951
O 0.0213 0.5134 0.2434
O 0.4996 0.9936 0.7548
O 0.5214 0.0437 0.0082
O 0.0437 0.5214 0.0082
Ti 0.9981 0.9981 0.7188
Ti 0.0049 0.0049 0.9978
Nb 0.0069 0.0069 0.2783
Sm 0.4719 0.4719 0.1265
Sm 0.4805 0.4805 0.8451
Cs 0.5049 0.5049 0.5134
! - Raw total energy: -0.6390 Ry per atom
! - Uncorrected formation energy: -3.001 eV/atom
! - Spin magnetization: 0.0000 μB/atom
! - Fermi-level density of states: 0.00 states/eV/atom

***

# 4
! Ba2AsP (GGA-PBEsol, relaxed); values from VASP
&SYSTEM
  ibrav = 0, nat = 4, ntyp = 3
/
ATOMIC_SPECIES
Ba 137.33 Ba.upf
P 30.97 P.upf
As 74.92 As.upf
CELL_PARAMETERS angstrom
5.3278 0.0403 0.0633
-2.1176 4.8891 -0.0633
-2.1176 -2.1309 4.4007
ATOMIC_POSITIONS crystal
Ba 0.5000 0.7500 0.2500
Ba 0.5000 0.2500 0.7500
P 0.0000 0.5000 0.5000
As 0.0000 0.0000 0.0000
! - Offset from the most stable computed form: 216.5 meV/atom
! - Raw total energy: -0.3348 Ry per atom
! - Spin magnetization: 0.0001 μB/atom
! - Fermi-level density of states: 0.75 states/eV/atom

***

# 5
! CdCuCl (GGA-PBEsol, relaxed); values from VASP
&SYSTEM
  ibrav = 0, nat = 3, ntyp = 3
/
ATOMIC_SPECIES
Cu 63.55 Cu.upf
Cl 35.45 Cl.upf
Cd 112.41 Cd.upf
CELL_PARAMETERS angstrom
-0.8266 -0.0454 3.1306
0.9074 -2.8713 -1.1909
5.4499 2.5855 0.4961
ATOMIC_POSITIONS crystal
Cu 0.3239 0.3239 0.6479
Cl 0.6907 0.6907 0.3813
Cd 0.9854 0.9854 0.9708
! - Offset from the most stable computed form: 112.0 meV/atom
! - Raw total energy: -0.1924 Ry per atom
! - Uncorrected formation energy: -0.104 eV/atom
! - Spin magnetization: 0.0000 μB/atom
! - Fermi-level density of states: 0.13 states/eV/atom

***

# 6
! Cd2InPt2 (GGA-PBEsol, relaxed); values from VASP
&SYSTEM
  ibrav = 0, nat = 10, ntyp = 3
/
ATOMIC_SPECIES
Cd 112.41 Cd.upf
Pt 195.08 Pt.upf
In 114.82 In.upf
CELL_PARAMETERS angstrom
-1.1559 3.1779 -1.7925
-6.1872 -0.4182 3.2482
2.5012 3.8787 5.2637
ATOMIC_POSITIONS crystal
Cd 0.5000 0.3437 0.1563
Cd 0.5000 0.8437 0.3437
Cd 0.5000 0.6563 0.8437
Cd 0.5000 0.1563 0.6563
Pt 0.0000 0.6417 0.1417
Pt 0.0000 0.8583 0.6417
Pt 0.0000 0.3583 0.8583
Pt 0.0000 0.1417 0.3583
In 0.0000 0.0000 0.0000
In 0.0000 0.5000 0.5000
! - Raw total energy: -0.3054 Ry per atom
! - Spin magnetization: 0.0000 μB/atom
! - Fermi-level density of states: 0.34 states/eV/atom

***

# 7
! Ta5Al (GGA-PBEsol, relaxed); values from VASP
&SYSTEM
  ibrav = 0, nat = 6, ntyp = 2
/
ATOMIC_SPECIES
Ta 180.95 Ta.upf
Al 26.98 Al.upf
CELL_PARAMETERS angstrom
2.7646 0.0000 0.0000
-1.3823 5.3688 0.0116
0.0000 -1.7089 7.0673
ATOMIC_POSITIONS crystal
Ta 0.7254 0.4509 0.9592
Ta 0.3983 0.7966 0.2857
Ta 0.0644 0.1288 0.6322
Ta 0.3283 0.6565 0.6579
Ta 0.6576 0.3151 0.3067
Al 0.9927 0.9854 0.9917
! - Offset from the most stable computed form: 146.9 meV/atom
! - Raw total energy: -0.8121 Ry per atom
! - Spin magnetization: 0.0000 μB/atom
! - Fermi-level density of states: 0.94 states/eV/atom

***

# 8
! Tl2Sb (GGA-PBEsol, relaxed); values from VASP
&SYSTEM
  ibrav = 0, nat = 12, ntyp = 2
/
ATOMIC_SPECIES
Tl 204.38 Tl.upf
Sb 121.76 Sb.upf
CELL_PARAMETERS angstrom
-1.4337 -0.3559 -5.0735
-5.5884 -3.2314 1.8059
-4.6177 8.3866 0.7167
ATOMIC_POSITIONS crystal
Tl 0.2500 0.0287 0.2274
Tl 0.7500 0.3079 0.0783
Tl 0.7500 0.8079 0.4217
Tl 0.2500 0.5287 0.2726
Tl 0.7500 0.4713 0.7274
Tl 0.7500 0.9713 0.7726
Tl 0.2500 0.6921 0.9217
Tl 0.2500 0.1921 0.5783
Sb 0.2500 0.7201 0.5908
Sb 0.7500 0.7799 0.0908
Sb 0.7500 0.2799 0.4092
Sb 0.2500 0.2201 0.9092
! - Offset from the most stable computed form: 9.9 meV/atom
! - Raw total energy: -0.2393 Ry per atom
! - Uncorrected formation energy: 0.017 eV/atom
! - Spin magnetization: 0.0000 μB/atom
! - Fermi-level density of states: 0.45 states/eV/atom

***

# 9
! ZnP2SN (GGA-PBEsol, relaxed); values from VASP
&SYSTEM
  ibrav = 0, nat = 5, ntyp = 4
/
ATOMIC_SPECIES
P 30.97 P.upf
Zn 65.41 Zn.upf
N 14.01 N.upf
S 32.06 S.upf
CELL_PARAMETERS angstrom
4.0236 0.0000 0.0000
0.0000 4.0236 0.0000
0.0000 0.0000 4.1692
ATOMIC_POSITIONS crystal
P 0.0000 0.5000 0.0000
P 0.5000 0.0000 0.0000
Zn 0.5000 0.5000 0.5000
N 0.0000 0.0000 0.0000
S 0.0000 0.0000 0.5000
! - Raw total energy: -0.3206 Ry per atom
! - Uncorrected formation energy: 0.853 eV/atom
! - Spin magnetization: 0.0002 μB/atom
! - Fermi-level density of states: 0.74 states/eV/atom

***

# 10
! HgC3 (GGA-PBEsol, relaxed); values from VASP
&SYSTEM
  ibrav = 0, nat = 4, ntyp = 2
/
ATOMIC_SPECIES
Hg 200.59 Hg.upf
C 12.01 C.upf
CELL_PARAMETERS angstrom
2.6926 0.0000 0.0000
1.3463 2.3319 0.0000
1.3463 0.7773 6.9109
ATOMIC_POSITIONS crystal
Hg 0.0000 0.0000 0.0000
C 0.2056 0.2056 0.3833
C 0.7944 0.7944 0.6167
C 0.5000 0.5000 0.5000
! - Offset from the most stable computed form: 1573.1 meV/atom
! - Raw total energy: -0.3724 Ry per atom
! - Spin magnetization: 0.0000 μB/atom
! - Fermi-level density of states: 0.28 states/eV/atom

***

# 11
! Sr2AlIn3 (GGA-PBEsol, relaxed); values from VASP
&SYSTEM
  ibrav = 0, nat = 6, ntyp = 3
/
ATOMIC_SPECIES
In 114.82 In.upf
Sr 87.62 Sr.upf
Al 26.98 Al.upf
CELL_PARAMETERS angstrom
-0.5826 -4.0320 2.7651
4.4649 1.1996 -1.6937
1.3102 4.2379 6.4557
ATOMIC_POSITIONS crystal
In 0.3333 0.6667 0.5354
In 0.3333 0.6667 0.9564
In 0.6667 0.3333 0.0520
Sr 0.0000 0.0000 0.2537
Sr 0.0000 0.0000 0.7485
Al 0.6667 0.3333 0.4540
! - Raw total energy: -0.2367 Ry per atom
! - Spin magnetization: 0.0000 μB/atom
! - Fermi-level density of states: 0.12 states/eV/atom

***

# 12
! Cu2HgMo (GGA-PBEsol, relaxed); values from VASP
&SYSTEM
  ibrav = 0, nat = 4, ntyp = 3
/
ATOMIC_SPECIES
Cu 63.55 Cu.upf
Hg 200.59 Hg.upf
Mo 95.94 Mo.upf
CELL_PARAMETERS angstrom
2.6577 0.0000 0.0000
0.0000 4.7526 0.1111
0.0000 -1.2513 4.5863
ATOMIC_POSITIONS crystal
Cu 0.0000 0.5000 0.0000
Cu 0.0000 0.0000 0.5000
Hg 0.5000 0.0000 0.0000
Mo 0.5000 0.5000 0.5000
! - Raw total energy: -0.3534 Ry per atom
! - Spin magnetization: 0.0024 μB/atom
! - Fermi-level density of states: 0.80 states/eV/atom

***

# 13
! BeAl2Tc (GGA-PBEsol, relaxed); values from VASP
&SYSTEM
  ibrav = 0, nat = 4, ntyp = 3
/
ATOMIC_SPECIES
Be 9.01 Be.upf
Tc 98.00 Tc.upf
Al 26.98 Al.upf
CELL_PARAMETERS angstrom
-1.1478 -3.0049 -0.1692
3.6619 -1.4007 0.0338
-1.3649 2.0178 4.0849
ATOMIC_POSITIONS crystal
Be 0.5069 0.5069 0.0137
Tc 0.2353 0.7353 0.4707
Al 0.7630 0.2630 0.5261
Al 0.9948 0.9948 0.9895
! - Raw total energy: -0.4554 Ry per atom
! - Spin magnetization: 0.0000 μB/atom
! - Fermi-level density of states: 0.19 states/eV/atom